No. 1
Here is an optimized crystal structure of Pr2ThAl from Alexandria. Energies are from PBE.

Unit cell a=3.646 b=3.646 c=9.033 alpha=90.00 beta=90.00 gamma=90.00
Space group P4/mmm (No. 123)
Inequivalent atoms, fractional coordinates:
Pr 0.000 0.000 0.222 x2
Th 0.500 0.500 0.500 x1
Al 0.500 0.500 0.000 x1

Summary:
The total energy is -5.31 eV/atom. As for the polymorph energy (0 for the lowest one): 0.0 meV/atom. For the energy of formation from the pure elements, the calculation gives -0.1262 eV per atom.


No. 2
Here is an optimized crystal structure of ZrBiP3 from Alexandria. Energies are from PBE.

Unit cell a=5.069 b=5.069 c=5.069 alpha=90.00 beta=90.00 gamma=90.00
Space group Pm-3m (No. 221)
Inequivalent atoms, fractional coordinates:
Zr 0.000 0.000 0.000 x1
Bi 0.500 0.500 0.500 x1
P 0.000 0.500 0.500 x3

Summary:
The total energy is -4.52 eV/atom. As for the polymorph energy (0 for the lowest one): 862.9 meV/atom. For the energy of formation from the pure elements, the calculation gives 1.2082 eV per atom.


No. 3
Here is an optimized crystal structure of Mg4Ta from Alexandria. Energies are from PBE.

Unit cell a=6.772 b=6.772 c=4.522 alpha=90.00 beta=90.00 gamma=90.00
Space group I4/m (No. 87)
Inequivalent atoms, fractional coordinates:
Mg 0.101 0.292 0.000 x8
Ta 0.000 0.000 0.500 x2

Summary:
The total energy is -3.27 eV/atom. As for the polymorph energy (0 for the lowest one): 0.0 meV/atom. For the energy of formation from the pure elements, the calculation gives 0.3760 eV per atom.


No. 4
Here is an optimized crystal structure of HgH12C4Br3N from Alexandria. Energies are from PBE.

Unit cell a=8.499 b=8.980 c=17.550 alpha=93.88 beta=95.23 gamma=91.06
Space group P1 (No. 1)
Inequivalent atoms, fractional coordinates:
Hg 0.000 0.000 0.000 x1
Hg 0.127 0.488 0.500 x1
Hg 0.484 0.922 0.947 x1
Hg 0.626 0.414 0.444 x1
H 0.012 0.835 0.423 x1
H 0.015 0.685 0.361 x1
H 0.028 0.300 0.832 x1
H 0.102 0.411 0.762 x1
H 0.125 0.476 0.860 x1
H 0.188 0.969 0.251 x1
H 0.220 0.793 0.290 x1
H 0.226 0.960 0.352 x1
H 0.250 0.509 0.154 x1
H 0.262 0.062 0.674 x1
H 0.285 0.792 0.639 x1
H 0.302 0.241 0.149 x1
H 0.317 0.968 0.539 x1
H 0.330 0.374 0.030 x1
H 0.390 0.532 0.237 x1
H 0.410 0.052 0.752 x1
H 0.412 0.638 0.156 x1
H 0.421 0.778 0.715 x1
H 0.433 0.179 0.680 x1
H 0.443 0.255 0.223 x1
H 0.456 0.712 0.627 x1
H 0.480 0.169 0.139 x1
H 0.487 0.507 0.030 x1
H 0.492 0.080 0.544 x1
H 0.501 0.885 0.522 x1
H 0.528 0.313 0.025 x1
H 0.658 0.461 0.737 x1
H 0.669 0.438 0.230 x1
H 0.675 0.938 0.729 x1
H 0.696 0.537 0.148 x1
H 0.701 0.548 0.873 x1
H 0.706 0.058 0.655 x1
H 0.712 0.862 0.636 x1
H 0.725 0.342 0.145 x1
H 0.752 0.292 0.760 x1
H 0.779 0.790 0.236 x1
H 0.787 0.026 0.328 x1
H 0.794 0.390 0.896 x1
H 0.799 0.715 0.782 x1
H 0.821 0.401 0.688 x1
H 0.844 0.768 0.375 x1
H 0.880 0.560 0.923 x1
H 0.919 0.873 0.183 x1
H 0.931 0.111 0.276 x1
H 0.957 0.697 0.220 x1
H 0.958 0.657 0.728 x1
H 0.971 0.094 0.376 x1
H 0.996 0.716 0.827 x1
C 0.044 0.415 0.816 x1
C 0.166 0.902 0.299 x1
C 0.376 0.528 0.174 x1
C 0.390 0.067 0.690 x1
C 0.444 0.971 0.557 x1
C 0.454 0.399 0.051 x1
C 0.475 0.951 0.643 x1
C 0.478 0.408 0.138 x1
C 0.652 0.431 0.167 x1
C 0.652 0.951 0.667 x1
C 0.772 0.407 0.744 x1
C 0.887 0.494 0.804 x1
C 0.906 0.806 0.232 x1
C 0.911 0.655 0.784 x1
C 0.915 0.038 0.322 x1
C 0.988 0.887 0.304 x1
Br 0.019 0.716 0.016 x1
Br 0.031 0.206 0.113 x1
Br 0.041 0.750 0.565 x1
Br 0.113 0.449 0.351 x1
Br 0.225 0.069 0.899 x1
Br 0.413 0.438 0.572 x1
Br 0.468 0.687 0.844 x1
Br 0.493 0.190 0.357 x1
Br 0.549 0.919 0.094 x1
Br 0.595 0.681 0.400 x1
Br 0.744 0.096 0.905 x1
Br 0.872 0.306 0.530 x1
N 0.406 0.799 0.657 x1
N 0.423 0.259 0.164 x1
N 0.811 0.497 0.879 x1
N 0.964 0.789 0.370 x1

Summary:
The total energy is -4.66 eV/atom.